(1)
A plane-wave DFT calculation with PBE-GGA was carried out for crystalline NdHo2Tc at its relaxed geometry.

- energy (eV/atom) = -6.071
- E above lowest polymorph (kJ/mol of formula units) = 26.9

Cell: 3.4474 3.4474 9.1146 Å, 90.00 90.00 90.00°
Space group P4/mmm (No. 123)
Symmetry-distinct sites (fractional):
Nd 0.0000 0.0000 0.0000 x1
Ho 0.5000 0.5000 0.3200 x2
Tc 0.0000 0.0000 0.5000 x1


(2)
A plane-wave DFT calculation with PBE-GGA was carried out for crystalline NdHo3Tc at its relaxed geometry.

- energy (eV/atom) = -5.840
- E above lowest polymorph (kJ/mol of formula units) = 0.0

Cell: 8.6456 3.7882 8.7501 Å, 90.00 101.93 90.00°
Space group P2_1/m (No. 11)
Symmetry-distinct sites (fractional):
Nd 0.1701 0.2500 0.0125 x2
Ho 0.0264 0.7500 0.6630 x2
Ho 0.3423 0.7500 0.3899 x2
Ho 0.4225 0.7500 0.8160 x2
Tc 0.2632 0.2500 0.5986 x2


(3)
A plane-wave DFT calculation with PBE-GGA was carried out for crystalline Nd3HoTc at its relaxed geometry.

- energy (eV/atom) = -5.624

Cell: 5.5079 5.5079 5.5079 Å, 90.00 90.00 90.00°
Space group Pm-3m (No. 221)
Symmetry-distinct sites (fractional):
Nd 0.0000 0.0000 0.5000 x3
Ho 0.5000 0.5000 0.5000 x1
Tc 0.0000 0.0000 0.0000 x1


(4)
A plane-wave DFT calculation with PBE-GGA was carried out for crystalline NdHoTc at its relaxed geometry.

- energy (eV/atom) = -6.537
- E above lowest polymorph (kJ/mol of formula units) = 0.0

Cell: 3.5004 3.5004 12.8084 Å, 90.00 90.00 90.00°
Space group I4mm (No. 107)
Symmetry-distinct sites (fractional):
Nd 0.0000 0.0000 0.0000 x2
Ho 0.0000 0.0000 0.2581 x2
Tc 0.0000 0.0000 0.6348 x2


(5)
A plane-wave DFT calculation with PBE-GGA was carried out for crystalline NdHo4Te5 at its relaxed geometry.

- E_form (uncorrected) (eV/atom) = -1.280
- energy (eV/atom) = -5.158
- E above lowest polymorph (kJ/mol of formula units) = 3.6

Cell: 4.3398 4.3398 31.3607 Å, 90.00 90.00 90.00°
Space group I4/mmm (No. 139)
Symmetry-distinct sites (fractional):
Nd 0.0000 0.0000 0.0000 x2
Ho 0.0000 0.0000 0.2089 x4
Ho 0.0000 0.0000 0.4056 x4
Te 0.0000 0.0000 0.1051 x4
Te 0.0000 0.0000 0.3059 x4
Te 0.0000 0.0000 0.5000 x2


(6)
A plane-wave DFT calculation with PBE-GGA was carried out for crystalline NdHo2Te3 at its relaxed geometry.

- E_form (uncorrected) (eV/atom) = -1.304
- energy (eV/atom) = -5.195

Cell: 4.3932 6.1883 13.2186 Å, 90.00 90.00 90.00°
Space group Immm (No. 71)
Symmetry-distinct sites (fractional):
Nd 0.0000 0.0000 0.0000 x2
Ho 0.0000 0.0000 0.3419 x4
Te 0.0000 0.5000 0.0000 x2
Te 0.0000 0.5000 0.3235 x4


energy of number 4 (NdHoTc)?
-6.537 eV/atom


What did the third record say?
A plane-wave DFT calculation with PBE-GGA was carried out for crystalline Nd3HoTc at its relaxed geometry.

- energy (eV/atom) = -5.624

Cell: 5.5079 5.5079 5.5079 Å, 90.00 90.00 90.00°
Space group Pm-3m (No. 221)
Symmetry-distinct sites (fractional):
Nd 0.0000 0.0000 0.5000 x3
Ho 0.5000 0.5000 0.5000 x1
Tc 0.0000 0.0000 0.0000 x1


The highest energy belongs to which entry?
NdHo4Te5


Which value of energy does entry 6 give?
-5.195 eV/atom